# Zn2SiP

A relaxed structure of Zn2SiP (PBE, the Alexandria database).

```
Zn2SiP
1.0
3.517 0.000 0.000
0.000 3.517 0.000
0.000 0.000 5.102
Zn Si P
2 1 1
Direct
0.000 0.000 0.249
0.000 0.000 0.751
0.500 0.500 0.500
0.500 0.500 0.000
```

Values from the calculation:
Total energy, eV/atom: -3.030
N(E_F), states/eV per cell: 1.2

# Zn2SiP

A relaxed structure of Zn2SiP (PBE, the Alexandria database).

```
Zn2SiP
1.0
1.836 -2.295 0.000
1.836 2.295 0.000
0.000 0.000 7.499
Zn Si P
2 1 1
Direct
0.000 0.000 0.249
0.000 0.000 0.751
0.500 0.500 0.000
0.500 0.500 0.500
```

Values from the calculation:
Total energy, eV/atom: -2.975
N(E_F), states/eV per cell: 1.0

# ZnSi2P

A relaxed structure of ZnSi2P (PBE, the Alexandria database).

```
ZnSi2P
1.0
-1.287 2.329 5.062
1.287 -2.329 5.062
1.287 2.329 -5.062
Zn Si P
1 2 1
Direct
0.000 0.000 0.000
0.501 0.501 0.000
0.743 0.243 0.500
0.266 0.766 0.500
```

Values from the calculation:
Total energy, eV/atom: -3.957
N(E_F), states/eV per cell: 1.5
Energy relative to the lowest polymorph listed for this composition, eV per atom: 0.259

# ZnSi2P

A relaxed structure of ZnSi2P (PBE, the Alexandria database).

```
ZnSi2P
1.0
-2.766 2.766 5.306
2.766 -2.766 5.306
2.766 2.766 -5.306
Zn Si P
2 4 2
Direct
0.000 0.000 0.000
0.750 0.250 0.500
0.138 0.625 0.013
0.375 0.388 0.513
0.612 0.125 0.987
0.875 0.862 0.487
0.250 0.750 0.500
0.500 0.500 0.000
```

Values from the calculation:
Total energy, eV/atom: -4.216
N(E_F), states/eV per cell: 3.0
Energy relative to the lowest polymorph listed for this composition, eV per atom: 0.000

# Zn2SiP

A relaxed structure of Zn2SiP (PBE, the Alexandria database).

```
Zn2SiP
1.0
3.155 0.000 0.000
0.000 3.155 0.000
0.000 0.000 7.117
Zn Si P
2 1 1
Direct
0.000 0.000 0.000
0.500 0.500 0.203
0.500 0.500 0.544
0.000 0.000 0.664
```

Values from the calculation:
Total energy, eV/atom: -3.250
N(E_F), states/eV per cell: 1.8

# ZnSi2P

A relaxed structure of ZnSi2P (PBE, the Alexandria database).

```
ZnSi2P
1.0
2.867 -3.972 0.000
2.867 3.972 0.000
0.000 0.000 2.656
Zn Si P
1 2 1
Direct
0.000 0.000 0.000
0.000 0.500 0.500
0.500 0.000 0.500
0.500 0.500 0.000
```

Values from the calculation:
Total energy, eV/atom: -3.907
N(E_F), states/eV per cell: 0.7
Energy relative to the lowest polymorph listed for this composition, eV per atom: 0.309

# ZnSi2P

A relaxed structure of ZnSi2P (PBE, the Alexandria database).

```
ZnSi2P
1.0
2.656 0.000 0.000
0.000 2.656 0.000
0.000 0.000 8.686
Zn Si P
1 2 1
Direct
0.000 0.000 0.000
0.000 0.000 0.535
0.500 0.500 0.761
0.500 0.500 0.240
```

Values from the calculation:
Total energy, eV/atom: -3.903
N(E_F), states/eV per cell: 2.0
Energy relative to the lowest polymorph listed for this composition, eV per atom: 0.313

# Zn2SiP

A relaxed structure of Zn2SiP (PBE, the Alexandria database).

```
Zn2SiP
1.0
2.573 -3.460 0.000
2.573 3.460 0.000
-1.142 0.000 3.607
Zn Si P
2 1 1
Direct
0.000 0.500 0.000
0.500 0.000 0.000
0.000 0.000 0.500
0.500 0.500 0.500
```

Values from the calculation:
Total energy, eV/atom: -3.057
N(E_F), states/eV per cell: 1.5

Among the records above, which one has the lowest N(E_F)?
number 6